Entry from Alexandria via LeMat-Bulk: an optimized crystal structure of AcCd5Pt3 (PBE).

E_form, eV per atom: -0.4433
Magnetic moment, μB per atom: 0.00
SG: Cmcm

Lattice parameters (Å, degrees): 4.1517 7.6804 13.3338 90.00 90.00 105.68
Last column: nearest neighbours and their distance in Å.
Element x y z (fractional)
Cd (0.5639, 0.1279, 0.6442)  4 Pt 2.81-3.00, 5 Cd 2.82-3.13
Cd (0.4361, 0.8721, 0.1442)  4 Pt 2.81-3.00, 5 Cd 2.82-3.13
Cd (0.1977, 0.3954, 0.9508)  4 Pt 2.75-2.91, 3 Cd 2.90-3.00
Cd (0.1977, 0.3954, 0.5492)  4 Pt 2.75-2.91, 3 Cd 2.90-3.00
Cd (0.8023, 0.6046, 0.0492)  4 Pt 2.75-2.91, 3 Cd 2.90-3.00
Cd (0.5639, 0.1279, 0.8558)  4 Pt 2.81-3.00, 5 Cd 2.82-3.13
Cd (0.0000, 0.0000, 0.0000)  4 Pt 2.86, 6 Cd 2.98-3.00
Cd (0.8023, 0.6046, 0.4508)  4 Pt 2.75-2.91, 3 Cd 2.90-3.00
Cd (0.0000, 0.0000, 0.5000)  4 Pt 2.86, 6 Cd 2.98-3.00
Cd (0.4361, 0.8721, 0.3558)  4 Pt 2.81-3.00, 5 Cd 2.82-3.13
Pt (0.6154, 0.2308, 0.0736)  7 Cd 2.78-3.00
Pt (0.3846, 0.7692, 0.9264)  7 Cd 2.78-3.00
Pt (0.3846, 0.7692, 0.5736)  7 Cd 2.78-3.00
Pt (0.6154, 0.2308, 0.4264)  7 Cd 2.78-3.00
Pt (0.1556, 0.3112, 0.7500)  6 Cd 2.75-2.85
Pt (0.8444, 0.6888, 0.2500)  6 Cd 2.75-2.85
Ac (0.1718, 0.3437, 0.2500)  6 Pt 3.25-3.29
Ac (0.8282, 0.6563, 0.7500)  6 Pt 3.25-3.29



Entry from Alexandria via LeMat-Bulk: an optimized crystal structure of Ac6CdPt3 (PBE).

E_form, eV per atom: -0.7648
Magnetic moment, μB per atom: 0.00
SG: P2_1/m

Lattice parameters (Å, degrees): 4.4498 13.0399 13.0957 109.24 90.00 90.00
Last column: nearest neighbours and their distance in Å.
Element x y z (fractional)
Pt (0.7500, 0.0774, 0.1549)  6 Ac 3.01-3.16
Pt (0.2500, 0.1596, 0.5470)  6 Ac 3.05-3.15
Pt (0.7500, 0.8404, 0.4530)  6 Ac 3.05-3.15
Pt (0.2500, 0.5055, 0.3196)  6 Ac 3.03-3.26
Pt (0.2500, 0.9226, 0.8451)  6 Ac 3.01-3.16
Pt (0.7500, 0.4945, 0.6804)  6 Ac 3.03-3.26
Cd (0.7500, 0.6953, 0.0580)  8 Ac 3.51-3.81
Cd (0.2500, 0.3047, 0.9420)  8 Ac 3.51-3.81
Ac (0.7500, 0.7576, 0.7933)  3 Pt 3.01-3.26
Ac (0.2500, 0.2424, 0.2067)  3 Pt 3.01-3.26
Ac (0.7500, 0.6134, 0.4749)  3 Pt 3.03-3.07
Ac (0.7500, 0.0520, 0.3867)  4 Pt 3.06-3.16
Ac (0.2500, 0.3866, 0.5251)  3 Pt 3.03-3.07
Ac (0.7500, 0.0911, 0.9262)  3 Pt 3.06
Ac (0.2500, 0.9089, 0.0738)  3 Pt 3.06
Ac (0.7500, 0.2605, 0.7087)  3 Pt 3.05-3.19
Ac (0.2500, 0.5341, 0.8583)  2 Pt 3.14, 1 Cd 3.51
Ac (0.2500, 0.9480, 0.6133)  4 Pt 3.06-3.16
Ac (0.2500, 0.7395, 0.2913)  3 Pt 3.05-3.19
Ac (0.7500, 0.4659, 0.1417)  2 Pt 3.14, 1 Cd 3.51



Entry from Alexandria via LeMat-Bulk: an optimized crystal structure of Ac3Cd2Pt3 (PBE).

E_form, eV per atom: -0.8303
Magnetic moment, μB per atom: 0.00
SG: P6_3/mcm

Lattice parameters (Å, degrees): 6.1649 9.1181 9.1181 120.00 90.00 90.00
Last column: nearest neighbours and their distance in Å.
Element x y z (fractional)
Ac (0.7500, 0.7047, 0.7047)  5 Pt 3.05-3.16
Ac (0.2500, 0.2953, 0.2953)  5 Pt 3.05-3.16
Ac (0.2500, 0.7047, 0.0000)  5 Pt 3.05-3.16
Ac (0.7500, 0.2953, 0.0000)  5 Pt 3.05-3.16
Ac (0.7500, 0.0000, 0.2953)  5 Pt 3.05-3.16
Ac (0.2500, 0.0000, 0.7047)  5 Pt 3.05-3.16
Pt (0.7500, 0.6293, 0.0000)  5 Ac 3.05-3.16, 4 Cd 3.27
Pt (0.2500, 0.6293, 0.6293)  5 Ac 3.05-3.16, 4 Cd 3.27
Pt (0.7500, 0.3707, 0.3707)  5 Ac 3.05-3.16, 4 Cd 3.27
Pt (0.7500, 0.0000, 0.6293)  5 Ac 3.05-3.16, 4 Cd 3.27
Pt (0.2500, 0.0000, 0.3707)  5 Ac 3.05-3.16, 4 Cd 3.27
Pt (0.2500, 0.3707, 0.0000)  5 Ac 3.05-3.16, 4 Cd 3.27
Cd (0.0000, 0.3333, 0.6667)  2 Cd 3.08, 6 Pt 3.27
Cd (0.5000, 0.6667, 0.3333)  2 Cd 3.08, 6 Pt 3.27
Cd (0.5000, 0.3333, 0.6667)  2 Cd 3.08, 6 Pt 3.27
Cd (0.0000, 0.6667, 0.3333)  2 Cd 3.08, 6 Pt 3.27



Entry from Alexandria via LeMat-Bulk: an optimized crystal structure of Ac4Cd2Pt (PBE).

E_form, eV per atom: -0.4011
Magnetic moment, μB per atom: 0.00
Distance to the lowest polymorph of the same formula, kJ per mole of atoms: 0.0
SG: C2/m

Lattice parameters (Å, degrees): 4.1918 7.2436 9.6257 113.80 102.58 90.00
Last column: nearest neighbours and their distance in Å.
Element x y z (fractional)
Cd (0.2568, 0.1900, 0.5136)  2 Cd 3.38, 6 Ac 3.41-3.62
Cd (0.7432, 0.8100, 0.4864)  2 Cd 3.38, 6 Ac 3.41-3.62
Ac (0.9088, 0.2498, 0.8175)  1 Pt 2.96
Ac (0.6174, 0.2738, 0.2347)  2 Pt 3.09
Ac (0.0912, 0.7502, 0.1825)  1 Pt 2.96
Ac (0.3826, 0.7262, 0.7653)  2 Pt 3.09
Pt (0.0000, 0.0000, 0.0000)  6 Ac 2.96-3.09



Entry from Alexandria via LeMat-Bulk: an optimized crystal structure of Ac4Cd5Pt6 (PBE).

E_form, eV per atom: -0.7530
Magnetic moment, μB per atom: 0.00
SG: Cmc2_1

Lattice parameters (Å, degrees): 4.3670 11.0272 16.2699 90.00 90.00 101.42
Last column: nearest neighbours and their distance in Å.
Element x y z (fractional)
Pt (0.2204, 0.4408, 0.4797)  4 Cd 2.78-2.81, 2 Ac 3.07
Pt (0.8798, 0.7597, 0.6140)  4 Cd 2.73-2.78
Pt (0.4323, 0.8646, 0.1333)  5 Cd 2.85-2.95
Pt (0.2382, 0.4763, 0.7653)  4 Cd 2.75-2.87
Pt (0.1202, 0.2403, 0.1140)  4 Cd 2.73-2.78
Pt (0.5677, 0.1354, 0.6333)  5 Cd 2.85-2.95
Pt (0.5744, 0.1487, 0.9028)  1 Pt 2.90, 1 Cd 2.91, 2 Ac 3.16
Pt (0.4451, 0.8902, 0.8559)  2 Cd 2.80-2.94, 1 Pt 2.90
Pt (0.7618, 0.5237, 0.2653)  4 Cd 2.75-2.87
Pt (0.7796, 0.5592, 0.9797)  4 Cd 2.78-2.81, 2 Ac 3.07
Pt (0.4256, 0.8513, 0.4028)  1 Pt 2.90, 1 Cd 2.91, 2 Ac 3.16
Pt (0.5549, 0.1098, 0.3559)  2 Cd 2.80-2.94, 1 Pt 2.90
Cd (0.4397, 0.8794, 0.6755)  4 Pt 2.73-2.94
Cd (0.3000, 0.6000, 0.6164)  4 Pt 2.77-2.81
Cd (0.7000, 0.4000, 0.1164)  4 Pt 2.77-2.81
Cd (0.8447, 0.6894, 0.1273)  4 Pt 2.78-2.89
Cd (0.6608, 0.3216, 0.7659)  4 Pt 2.75-2.95
Cd (0.3599, 0.7197, 0.9854)  4 Pt 2.79-2.87
Cd (0.1553, 0.3106, 0.6273)  4 Pt 2.78-2.89
Cd (0.3392, 0.6784, 0.2659)  4 Pt 2.75-2.95
Cd (0.5603, 0.1206, 0.1755)  4 Pt 2.73-2.94
Cd (0.6401, 0.2803, 0.4854)  4 Pt 2.79-2.87
Ac (0.0037, 0.0074, 0.5148)  5 Pt 3.13-3.31
Ac (0.8375, 0.6750, 0.8042)  6 Pt 3.12-3.30
Ac (0.9673, 0.9346, 0.2735)  6 Pt 3.16-3.25, 4 Cd 3.37-3.53
Ac (0.1625, 0.3250, 0.3042)  6 Pt 3.12-3.30
Ac (0.8160, 0.6320, 0.4414)  6 Pt 3.07-3.28
Ac (0.1840, 0.3680, 0.9414)  6 Pt 3.07-3.28
Ac (0.9963, 0.9926, 0.0148)  5 Pt 3.13-3.31
Ac (0.0327, 0.0654, 0.7735)  6 Pt 3.16-3.25, 4 Cd 3.37-3.53



Entry from Alexandria via LeMat-Bulk: an optimized crystal structure of AcCd3Pt8 (PBE).

E_form, eV per atom: -0.4781
Magnetic moment, μB per atom: 0.00
SG: R3m

Lattice parameters (Å, degrees): 5.4489 5.4489 9.4742 73.29 73.29 60.00
Last column: nearest neighbours and their distance in Å.
Element x y z (fractional)
Pt (0.6894, 0.6894, 0.9319)  6 Pt 2.69-2.70
Pt (0.4412, 0.9424, 0.1751)  6 Pt 2.69-2.77, 1 Cd 2.96
Pt (0.1898, 0.1898, 0.4307)  6 Pt 2.77
Pt (0.9394, 0.9394, 0.6874)  6 Pt 2.69-2.77, 3 Cd 2.95-3.01
Pt (0.4338, 0.9394, 0.6874)  6 Pt 2.69-2.77, 3 Cd 2.95-3.01
Pt (0.9394, 0.4338, 0.6874)  6 Pt 2.69-2.77, 3 Cd 2.95-3.01
Pt (0.4412, 0.4412, 0.1751)  6 Pt 2.69-2.77, 1 Cd 2.96
Pt (0.9424, 0.4412, 0.1751)  6 Pt 2.69-2.77, 1 Cd 2.96
Cd (0.0080, 0.0080, 0.9760)  12 Pt 3.01-3.25, 3 Cd 3.23
Cd (0.4800, 0.4800, 0.5601)  6 Pt 2.95, 1 Cd 2.99
Cd (0.3684, 0.3684, 0.8947)  12 Pt 2.96-3.29, 4 Cd 2.99-3.23
Ac (0.8770, 0.8770, 0.3690)  12 Pt 3.19-3.26, 1 Cd 3.51



Entry from Alexandria via LeMat-Bulk: an optimized crystal structure of AcCd2Pt3 (PBE).

E_form, eV per atom: -0.6028
Magnetic moment, μB per atom: 0.00
SG: Cmcm

Lattice parameters (Å, degrees): 5.8622 6.9341 6.9341 72.22 90.00 90.00
Last column: nearest neighbours and their distance in Å.
Element x y z (fractional)
Pt (0.7500, 0.8087, 0.4423)  2 Pt 2.72-2.81, 2 Cd 2.77
Pt (0.2500, 0.4423, 0.8087)  2 Pt 2.72-2.81, 2 Cd 2.77
Pt (0.2500, 0.1913, 0.5577)  2 Pt 2.72-2.81, 2 Cd 2.77
Pt (0.2500, 0.0322, 0.9678)  4 Pt 2.72-2.98, 4 Cd 2.82, 1 Ac 2.96
Pt (0.7500, 0.9678, 0.0322)  4 Pt 2.72-2.98, 4 Cd 2.82, 1 Ac 2.96
Pt (0.7500, 0.5577, 0.1913)  2 Pt 2.72-2.81, 2 Cd 2.77
Ac (0.2500, 0.6697, 0.3303)  7 Pt 2.96-3.25
Ac (0.7500, 0.3303, 0.6697)  7 Pt 2.96-3.25
Cd (0.5000, 0.7867, 0.7867)  4 Pt 2.77-2.82, 2 Cd 2.93
Cd (0.0000, 0.2133, 0.2133)  4 Pt 2.77-2.82, 2 Cd 2.93
Cd (0.0000, 0.7867, 0.7867)  4 Pt 2.77-2.82, 2 Cd 2.93
Cd (0.5000, 0.2133, 0.2133)  4 Pt 2.77-2.82, 2 Cd 2.93



Entry from Alexandria via LeMat-Bulk: an optimized crystal structure of Ac3Cd2Pt (PBE).

E_form, eV per atom: -0.5284
Magnetic moment, μB per atom: 0.00
SG: P2/m

Lattice parameters (Å, degrees): 5.8155 8.3693 9.0126 90.02 109.42 90.00
Last column: nearest neighbours and their distance in Å.
Element x y z (fractional)
Cd (0.7050, 0.7499, 0.4001)  2 Cd 3.30-3.43, 3 Ac 3.40-3.49
Cd (0.7047, 0.2499, 0.4001)  2 Cd 3.30-3.43, 3 Ac 3.40-3.49
Cd (0.2950, 0.2501, 0.5999)  2 Cd 3.30-3.43, 3 Ac 3.40-3.49
Cd (0.2953, 0.7501, 0.5999)  2 Cd 3.30-3.43, 3 Ac 3.40-3.49
Pt (0.0002, 0.7500, 0.0000)  6 Ac 2.91-3.12
Pt (0.9998, 0.2500, 0.0000)  6 Ac 2.91-3.12
Ac (0.8598, 0.5000, 0.7279)  2 Pt 3.12, 2 Cd 3.49
Ac (0.4998, 0.2500, 0.0000)  2 Pt 2.91
Ac (0.1402, 0.5000, 0.2721)  2 Pt 3.12, 2 Cd 3.49
Ac (0.8598, 0.0000, 0.7279)  2 Pt 3.12, 2 Cd 3.49
Ac (0.5002, 0.7500, 0.0000)  2 Pt 2.91
Ac (0.1402, 0.0000, 0.2721)  2 Pt 3.12, 2 Cd 3.49



Result set for DOS(E_F): 5.629, 17.640, 9.451, 7.585, 10.264, 10.139, 4.308, 10.943 states/eV per cell, one per record in the order listed.